Entry 1:
Computed, not measured: a geometry-optimized BaCa3Sb structure at the PBEsol level of DFT.

For the total energy, the calculation gives -2.93 eV/atom. The value obtained for the uncorrected formation energy is -0.308 eV/atom. For the magnetization, the calculation gives 0.02 μB per formula unit.

a = 6.057 Å, b = 6.057 Å, c = 6.057 Å
α = 90.00°, β = 90.00°, γ = 90.00°
Fractional positions:
Ca1 0.000 0.500 0.000
Ca2 0.000 0.000 0.500
Ca3 0.500 0.000 0.000
Sb1 0.000 0.000 0.000
Ba1 0.500 0.500 0.500

---

Entry 2:
Computed, not measured: a geometry-optimized BaCa2Sb structure at the PBEsol level of DFT.

For the total energy, the calculation gives -3.28 eV/atom. The value obtained for the uncorrected formation energy is -0.536 eV/atom. For the magnetization, the calculation gives 0.00 μB per formula unit.

a = 4.305 Å, b = 4.305 Å, c = 8.039 Å
α = 90.00°, β = 90.00°, γ = 90.00°
Fractional positions:
Ba1 0.500 0.500 0.703
Ca1 0.000 0.000 0.046
Ca2 0.500 0.500 0.295
Sb1 0.000 0.000 0.456

---

Entry 3:
Computed, not measured: a geometry-optimized BaCaSb2 structure at the PBEsol level of DFT.

For the total energy, the calculation gives -4.23 eV/atom. The value obtained for the uncorrected formation energy is -0.878 eV/atom. For the magnetization, the calculation gives 0.00 μB per formula unit.

a = 4.179 Å, b = 4.179 Å, c = 7.217 Å
α = 90.00°, β = 90.00°, γ = 90.00°
Fractional positions:
Ca1 0.500 0.500 0.500
Sb1 0.000 0.000 0.290
Sb2 0.000 0.000 0.710
Ba1 0.500 0.500 0.000